# 1
A crystal of NaRe3Ag relaxed with PBEsol, computed with meta-GGA SCAN.

Raw total energy   -232.83 eV for the cell shown
DFT formation energy   3.2086 eV/atom

Unit cell a=4.7621 b=4.7621 c=4.7621 alpha=90.00 beta=90.00 gamma=90.00
Fractional coordinates of all 5 atoms:
Na 0.0000 0.0000 0.0000
Re 0.0000 0.5000 0.5000
Re 0.5000 0.0000 0.5000
Re 0.5000 0.5000 0.0000
Ag 0.5000 0.5000 0.5000



# 2
A crystal of SrCaB5H2ClO10 relaxed with PBEsol, computed with meta-GGA SCAN.

Raw total energy   -198.66 eV for the cell shown

Unit cell a=6.3613 b=6.4501 c=6.5820 alpha=76.65 beta=61.28 gamma=61.02
Fractional coordinates of all 20 atoms:
Sr 0.0000 0.0000 0.0000
Ca 0.6946 0.4929 0.4626
B 0.2138 0.3782 0.4521
B 0.3457 0.9681 0.3451
B 0.5554 0.9218 0.8942
B 0.5935 0.0486 0.4939
B 0.9979 0.8164 0.5561
H 0.1475 0.3836 0.0130
H 0.9058 0.5622 0.9540
Cl 0.4964 0.4267 0.9282
O 0.0171 0.6036 0.4871
O 0.1499 0.2167 0.4207
O 0.2470 0.8063 0.5149
O 0.3721 0.9367 0.1180
O 0.4478 0.3080 0.4645
O 0.4538 0.9822 0.7339
O 0.6050 0.9156 0.3306
O 0.8271 0.8361 0.8212
O 0.8543 0.0165 0.4433
O 0.9631 0.4162 0.0472



# 3
A crystal of RbCrSN2 relaxed with PBEsol, computed with meta-GGA SCAN.

Raw total energy   -65.96 eV for the cell shown
ΔE_f (raw)   26.6 kJ per mole of atoms

Unit cell a=3.8783 b=3.8783 c=4.6651 alpha=90.00 beta=90.00 gamma=90.00
Fractional coordinates of all 5 atoms:
Rb 0.0000 0.0000 0.0000
Cr 0.5000 0.5000 0.5000
S 0.5000 0.5000 0.0000
N 0.0000 0.5000 0.5000
N 0.5000 0.0000 0.5000



- Among the records above, which one has the lowest raw total energy?
  NaRe3Ag



- Which formula does entry 2 have?
  SrCaB5H2ClO10



- What is the raw total energy in the second record?
  -198.66 eV for the cell shown



- What is the raw total energy in the second record?
  -198.66 eV for the cell shown